VASP calculation (meta-GGA SCAN) on a PBEsol-optimized structure of AlSiH9C3Cl2O. Values from VASP.

Computed properties:
final energy = -457.1 eV/cell
crystal system = monoclinic
volume = 941.0 Å³/cell

```
&SYSTEM
  ibrav = 0, nat = 68, ntyp = 6
/
ATOMIC_SPECIES
H 1.01 H.upf
C 12.01 C.upf
Al 26.98 Al.upf
Si 28.09 Si.upf
Cl 35.45 Cl.upf
O 16.00 O.upf
CELL_PARAMETERS angstrom
6.923 0.000 0.000
0.000 9.292 0.000
-3.037 0.000 14.627
ATOMIC_POSITIONS crystal
H 0.155 0.386 0.055
H 0.343 0.586 0.895
H 0.802 0.862 0.505
H 0.057 0.094 0.261
H 0.205 0.926 0.774
H 0.618 0.044 0.662
H 0.302 0.638 0.005
H 0.723 0.695 0.839
H 0.657 0.414 0.105
H 0.399 0.266 0.783
H 0.899 0.234 0.283
H 0.698 0.362 0.995
H 0.345 0.886 0.445
H 0.435 0.755 0.943
H 0.565 0.245 0.057
H 0.557 0.406 0.761
H 0.882 0.544 0.838
H 0.118 0.456 0.162
H 0.157 0.086 0.605
H 0.943 0.906 0.739
H 0.295 0.426 0.726
H 0.223 0.805 0.339
H 0.843 0.914 0.395
H 0.845 0.614 0.945
H 0.277 0.305 0.161
H 0.705 0.574 0.274
H 0.443 0.594 0.239
H 0.065 0.255 0.557
H 0.655 0.114 0.555
H 0.935 0.745 0.443
H 0.198 0.138 0.495
H 0.101 0.766 0.717
H 0.601 0.734 0.217
H 0.795 0.074 0.226
H 0.777 0.195 0.661
H 0.382 0.956 0.338
C 0.140 0.357 0.125
C 0.582 0.651 0.267
C 0.190 0.179 0.564
C 0.918 0.151 0.233
C 0.360 0.857 0.375
C 0.860 0.643 0.875
C 0.690 0.321 0.064
C 0.810 0.821 0.436
C 0.640 0.143 0.625
C 0.418 0.349 0.733
C 0.082 0.849 0.767
C 0.310 0.679 0.936
Al 0.392 0.431 0.428
Al 0.108 0.931 0.072
Al 0.892 0.069 0.928
Al 0.608 0.569 0.572
Si 0.075 0.765 0.879
Si 0.575 0.735 0.379
Si 0.925 0.235 0.121
Si 0.425 0.265 0.621
Cl 0.406 0.982 0.124
Cl 0.594 0.018 0.876
Cl 0.992 0.766 0.143
Cl 0.508 0.266 0.357
Cl 0.094 0.482 0.376
Cl 0.492 0.734 0.643
Cl 0.906 0.518 0.624
Cl 0.008 0.234 0.857
O 0.543 0.593 0.449
O 0.043 0.907 0.949
O 0.457 0.407 0.551
O 0.957 0.093 0.051
```



VASP calculation (meta-GGA SCAN) on a PBEsol-optimized structure of MgSi2Ru2. Values from VASP.

Computed properties:
energy relative to the elements, uncorrected = -0.608 eV per atom
crystal system = tetragonal
volume = 136.9 Å³/cell

```
&SYSTEM
  ibrav = 0, nat = 10, ntyp = 3
/
ATOMIC_SPECIES
Si 28.09 Si.upf
Ru 101.07 Ru.upf
Mg 24.30 Mg.upf
CELL_PARAMETERS angstrom
2.828 0.000 0.000
0.000 6.957 0.000
0.000 0.000 6.957
ATOMIC_POSITIONS crystal
Si 0.000 0.362 0.862
Si 0.000 0.138 0.362
Si 0.000 0.862 0.638
Si 0.000 0.638 0.138
Ru 0.500 0.345 0.155
Ru 0.500 0.655 0.845
Ru 0.500 0.155 0.655
Ru 0.500 0.845 0.345
Mg 0.000 0.500 0.500
Mg 0.000 0.000 0.000
```



VASP calculation (meta-GGA SCAN) on a PBEsol-optimized structure of NbGe3Pd. Values from VASP.

Computed properties:
crystal system = cubic
DFT formation energy = 0.78 eV per atom
volume = 105.0 Å³/cell

```
&SYSTEM
  ibrav = 0, nat = 5, ntyp = 3
/
ATOMIC_SPECIES
Ge 72.64 Ge.upf
Nb 92.91 Nb.upf
Pd 106.42 Pd.upf
CELL_PARAMETERS angstrom
-0.609 -4.369 -1.673
4.028 -1.347 2.053
-2.379 -1.164 3.904
ATOMIC_POSITIONS crystal
Ge 0.500 0.000 0.000
Ge 0.000 0.000 0.500
Ge 0.000 0.500 0.000
Nb 0.500 0.500 0.500
Pd 0.000 0.000 0.000
```



VASP calculation (meta-GGA SCAN) on a PBEsol-optimized structure of LaSiRh2. Values from VASP.

Computed properties:
energy relative to the elements, uncorrected = -0.058 eV per atom
crystal system = cubic
volume = 70.6 Å³/cell

```
&SYSTEM
  ibrav = 0, nat = 4, ntyp = 3
/
ATOMIC_SPECIES
Rh 102.91 Rh.upf
La 138.91 La.upf
Si 28.09 Si.upf
CELL_PARAMETERS angstrom
-0.272 -2.936 -3.581
2.213 -4.073 0.167
-2.417 -3.938 0.408
ATOMIC_POSITIONS crystal
Rh 0.000 0.000 0.000
Rh 0.750 0.750 0.750
La 0.500 0.500 0.500
Si 0.250 0.250 0.250
```



VASP calculation (meta-GGA SCAN) on a PBEsol-optimized structure of CaPOs2. Values from VASP.

Computed properties:
crystal system = monoclinic
DFT formation energy = 0.03 eV per atom
volume = 68.0 Å³/cell

```
&SYSTEM
  ibrav = 0, nat = 4, ntyp = 3
/
ATOMIC_SPECIES
Os 190.23 Os.upf
P 30.97 P.upf
Ca 40.08 Ca.upf
CELL_PARAMETERS angstrom
2.890 0.000 -0.016
0.000 4.241 0.000
-0.902 0.000 5.551
ATOMIC_POSITIONS crystal
Os 0.034 0.000 0.103
Os 0.605 0.500 0.229
P 0.635 0.000 0.444
Ca 0.226 0.500 0.724
```



VASP calculation (meta-GGA SCAN) on a PBEsol-optimized structure of Ta2AsRu. Values from VASP.

Computed properties:
crystal system = monoclinic
DFT formation energy = -0.21 eV per atom
volume = 63.4 Å³/cell

```
&SYSTEM
  ibrav = 0, nat = 4, ntyp = 3
/
ATOMIC_SPECIES
Ta 180.95 Ta.upf
As 74.92 As.upf
Ru 101.07 Ru.upf
CELL_PARAMETERS angstrom
3.130 0.027 0.035
-0.382 4.565 0.018
-0.382 -1.111 4.428
ATOMIC_POSITIONS crystal
Ta 0.000 0.500 0.000
Ta 0.000 0.000 0.500
As 0.500 0.000 0.000
Ru 0.500 0.500 0.500
```